No. 1
This record from the Alexandria database describes crystalline AcPuMgSi at its relaxed geometry. The functional is PBE-GGA.

Unit cell a=5.3561 b=5.3561 c=5.3561 alpha=60.00 beta=60.00 gamma=60.00
Closest atoms and distances in Å follow each position.
Sites, in units of the cell vectors:
Mg: 0.2500 0.2500 0.2500  4 Pu 3.28, 4 Ac 3.28
Ac: 0.5000 0.5000 0.5000  4 Si 3.28, 4 Mg 3.28
Si: 0.7500 0.7500 0.7500  4 Ac 3.28, 4 Pu 3.28
Pu: 0.0000 0.0000 0.0000  4 Mg 3.28, 4 Si 3.28

Volume = 27.16 Å³/atom
Total energy = -6.40 eV/atom

No. 2
This record from the Alexandria database describes crystalline AcSmPuMg at its relaxed geometry. The functional is PBE-GGA.

Unit cell a=5.6987 b=5.6987 c=5.6987 alpha=60.00 beta=60.00 gamma=60.00
Closest atoms and distances in Å follow each position.
Sites, in units of the cell vectors:
Ac: 0.2500 0.2500 0.2500  4 Mg 3.49, 4 Pu 3.49
Mg: 0.0000 0.0000 0.0000  4 Ac 3.49, 4 Sm 3.49
Sm: 0.7500 0.7500 0.7500  4 Mg 3.49, 4 Pu 3.49
Pu: 0.5000 0.5000 0.5000  4 Sm 3.49, 4 Ac 3.49

Calculated formation energy = 0.7 eV per formula unit
Volume = 32.72 Å³/atom

Question: Look up the volume of the second one.
Answer: 32.72 Å³/atom